{
  "formula": "Cs2LaAgCl6",
  "functional": "SCAN",
  "state": "single point on PBEsol structure",
  "lattice": [[-1.294, -7.351, 1.646], [2.964, -3.076, 6.338], [-4.566, -1.862, 5.840]],
  "species": ["Cs", "Cs", "La", "Ag", "Cl", "Cl", "Cl", "Cl", "Cl", "Cl"],
  "frac_coords": [[0.750, 0.750, 0.750], [0.250, 0.250, 0.250], [0.000, 0.000, 0.000], [0.500, 0.500, 0.500], [0.747, 0.253, 0.253], [0.747, 0.747, 0.253], [0.253, 0.747, 0.747], [0.747, 0.253, 0.747], [0.253, 0.747, 0.253], [0.253, 0.253, 0.747]],
  "total_magnetization_mub_per_atom": 0.000,
  "e_tot_ev_per_atom": -21.897,
  "spacegroup": "Fm-3m, No. 225",
  "volume_a3_per_atom": 31.57
}

{
  "formula": "Zr3As",
  "functional": "SCAN",
  "state": "single point on PBEsol structure",
  "lattice": [[5.406, 0.000, 0.000], [0.000, 10.894, 0.000], [0.000, 0.000, 10.894]],
  "species": ["As", "As", "As", "As", "As", "As", "As", "As", "Zr", "Zr", "Zr", "Zr", "Zr", "Zr", "Zr", "Zr", "Zr", "Zr", "Zr", "Zr", "Zr", "Zr", "Zr", "Zr", "Zr", "Zr", "Zr", "Zr", "Zr", "Zr", "Zr", "Zr"],
  "frac_coords": [[0.288, 0.540, 0.706], [0.288, 0.460, 0.294], [0.788, 0.794, 0.040], [0.788, 0.206, 0.960], [0.212, 0.960, 0.794], [0.212, 0.040, 0.206], [0.712, 0.706, 0.460], [0.712, 0.294, 0.540], [0.988, 0.819, 0.285], [0.988, 0.181, 0.715], [0.488, 0.215, 0.319], [0.488, 0.785, 0.681], [0.512, 0.681, 0.215], [0.512, 0.319, 0.785], [0.012, 0.285, 0.181], [0.012, 0.715, 0.819], [0.783, 0.526, 0.639], [0.783, 0.474, 0.361], [0.283, 0.861, 0.026], [0.283, 0.139, 0.974], [0.717, 0.974, 0.861], [0.717, 0.026, 0.139], [0.217, 0.639, 0.474], [0.217, 0.361, 0.526], [0.961, 0.895, 0.583], [0.961, 0.105, 0.417], [0.461, 0.917, 0.395], [0.461, 0.083, 0.605], [0.539, 0.605, 0.917], [0.539, 0.395, 0.083], [0.039, 0.583, 0.105], [0.039, 0.417, 0.895]],
  "delta_e_f_kj_per_mol_fu": -320,
  "total_magnetization_mub_per_atom": 0.000,
  "spacegroup": "P4_2/n, No. 86",
  "volume_a3_per_atom": 20.05
}